No. 1
This record from Alexandria via LeMat-Bulk describes a relaxed structure of K2CuSb. The functional is PBE.

Lattice parameters (Å, degrees): 7.625 7.625 7.625 90.00 90.00 90.00
Fractional coordinates of all 16 atoms:
1 K 0.000 0.000 0.000
2 K 0.000 0.500 0.500
3 K 0.250 0.250 0.250
4 K 0.250 0.750 0.750
5 K 0.500 0.000 0.500
6 K 0.500 0.500 0.000
7 K 0.750 0.250 0.750
8 K 0.750 0.750 0.250
9 Cu 0.250 0.250 0.750
10 Cu 0.250 0.750 0.250
11 Cu 0.750 0.250 0.250
12 Cu 0.750 0.750 0.750
13 Sb 0.000 0.000 0.500
14 Sb 0.000 0.500 0.000
15 Sb 0.500 0.000 0.000
16 Sb 0.500 0.500 0.500

SG: No. 216
Formation energy without anion corrections, eV per atom: 0.004

No. 2
This record from Alexandria via LeMat-Bulk describes a relaxed structure of ZnHRu. The functional is PBE.

Lattice parameters (Å, degrees): 9.949 2.940 4.564 90.00 111.72 90.00
Fractional coordinates of all 12 atoms:
1 Zn 0.103 0.000 0.278
2 Zn 0.397 0.500 0.722
3 Zn 0.603 0.500 0.278
4 Zn 0.897 0.000 0.722
5 H 0.236 0.000 0.784
6 H 0.264 0.500 0.216
7 H 0.736 0.500 0.784
8 H 0.764 0.000 0.216
9 Ru 0.133 0.500 0.789
10 Ru 0.367 0.000 0.211
11 Ru 0.633 0.000 0.789
12 Ru 0.867 0.500 0.211

SG: No. 12
Polymorph energy (0 for the lowest one), meV per atom: 5

no.,total DFT energy (no corrections) (eV/atom)
1,-2.600
2,-4.625